[1]
# PBE RbPuOF2, relaxed
data_RbPuOF2
_chemical_formula_sum 'Rb1 Pu1 O1 F2'
_space_group_name_H-M_alt 'P 4 m m'
_space_group_IT_number 99
_cell_length_a 4.7855
_cell_length_b 4.7855
_cell_length_c 4.3740
_cell_angle_alpha 90.00
_cell_angle_beta 90.00
_cell_angle_gamma 90.00
loop_
_space_group_symop_operation_xyz
'x,y,z'
'-y,x,z'
'-x,-y,z'
'y,-x,z'
'-x,y,z'
'y,x,z'
'x,-y,z'
'-y,-x,z'
loop_
_atom_site_label
_atom_site_type_symbol
_atom_site_fract_x
_atom_site_fract_y
_atom_site_fract_z
Rb1 Rb 0.0000 0.0000 0.0000
Pu1 Pu 0.5000 0.5000 0.4993
O1 O 0.5000 0.5000 0.9992
F1 F 0.0000 0.5000 0.4988
# **Uncorrected formation energy**: -2.93 eV/atom
# **V**: 100.2 Å³/cell


[2]
# PBE CaFeSn3, relaxed
data_CaFeSn3
_chemical_formula_sum 'Ca1 Fe1 Sn3'
_space_group_name_H-M_alt 'P m -3 m'
_space_group_IT_number 221
_space_group_name_Hall '-P 4 2 3'
_cell_length_a 4.8939
_cell_length_b 4.8939
_cell_length_c 4.8939
_cell_angle_alpha 90.00
_cell_angle_beta 90.00
_cell_angle_gamma 90.00
loop_
_atom_site_label
_atom_site_type_symbol
_atom_site_fract_x
_atom_site_fract_y
_atom_site_fract_z
Ca1 Ca 0.0000 0.0000 0.0000
Fe1 Fe 0.5000 0.5000 0.5000
Sn1 Sn 0.0000 0.5000 0.5000
# **Offset from the most stable computed form**: 0 meV per atom
# **V**: 117.2 Å³/cell
# **ΔE_f**: 5 meV/atom


[3]
# PBE In3SbCl, relaxed
data_In3SbCl
_chemical_formula_sum 'In3 Sb1 Cl1'
_space_group_name_H-M_alt 'P m -3 m'
_space_group_IT_number 221
_space_group_name_Hall '-P 4 2 3'
_cell_length_a 5.8742
_cell_length_b 5.8742
_cell_length_c 5.8742
_cell_angle_alpha 90.00
_cell_angle_beta 90.00
_cell_angle_gamma 90.00
loop_
_atom_site_label
_atom_site_type_symbol
_atom_site_fract_x
_atom_site_fract_y
_atom_site_fract_z
In1 In 0.0000 0.0000 0.5000
Sb1 Sb 0.0000 0.0000 0.0000
Cl1 Cl 0.5000 0.5000 0.5000
# **Uncorrected formation energy**: 0.16 eV/atom
# **Offset from the most stable computed form**: 16 meV per atom
# **V**: 202.7 Å³/cell


[4]
# PBE Pr2NdPu, relaxed
data_Pr2NdPu
_chemical_formula_sum 'Pr2 Nd1 Pu1'
_space_group_name_H-M_alt 'P 4/m m m'
_space_group_IT_number 123
_space_group_name_Hall '-P 4 2'
_cell_length_a 5.1302
_cell_length_b 5.1302
_cell_length_c 5.1140
_cell_angle_alpha 90.00
_cell_angle_beta 90.00
_cell_angle_gamma 90.00
loop_
_atom_site_label
_atom_site_type_symbol
_atom_site_fract_x
_atom_site_fract_y
_atom_site_fract_z
Pr1 Pr 0.0000 0.5000 0.0000
Nd1 Nd 0.0000 0.0000 0.5000
Pu1 Pu 0.5000 0.5000 0.5000
# **Offset from the most stable computed form**: 36 meV per atom
# **V**: 134.6 Å³/cell
# **ΔE_f**: 157 meV/atom


[5]
# PBE ZnCr2Ru, relaxed
data_ZnCr2Ru
_chemical_formula_sum 'Zn1 Cr2 Ru1'
_space_group_name_H-M_alt 'P 1 m 1'
_space_group_IT_number 6
_cell_length_a 2.6552
_cell_length_b 3.8913
_cell_length_c 5.1113
_cell_angle_alpha 90.00
_cell_angle_beta 103.52
_cell_angle_gamma 90.00
loop_
_space_group_symop_operation_xyz
'x,y,z'
'x,-y,z'
loop_
_atom_site_label
_atom_site_type_symbol
_atom_site_fract_x
_atom_site_fract_y
_atom_site_fract_z
Zn1 Zn 0.0000 0.0000 0.0000
Cr1 Cr 0.5601 0.5000 0.2429
Cr2 Cr 0.9091 0.0000 0.4859
Ru1 Ru 0.4255 0.5000 0.7291
# **V**: 51.3 Å³/cell
# **ΔE_f**: 181 meV/atom


[6]
# PBE CeTl3O6, relaxed
data_CeTl3O6
_chemical_formula_sum 'Ce2 Tl6 O12'
_space_group_name_H-M_alt 'C m m m'
_space_group_IT_number 65
_space_group_name_Hall '-C 2 2'
_cell_length_a 8.0451
_cell_length_b 11.3543
_cell_length_c 3.5871
_cell_angle_alpha 90.00
_cell_angle_beta 90.00
_cell_angle_gamma 90.00
loop_
_atom_site_label
_atom_site_type_symbol
_atom_site_fract_x
_atom_site_fract_y
_atom_site_fract_z
Ce1 Ce 0.0000 0.0000 0.0000
Tl1 Tl 0.0000 0.5000 0.0000
Tl2 Tl 0.2500 0.2500 0.5000
O1 O 0.0000 0.1218 0.5000
O2 O 0.2147 0.3736 0.0000
# **Uncorrected formation energy**: -1.33 eV/atom
# **V**: 327.7 Å³/cell


[7]
# PBE Te2H2Pd7, relaxed
data_Te2H2Pd7
_chemical_formula_sum 'Te4 H4 Pd14'
_space_group_name_H-M_alt 'C 1 2/m 1'
_space_group_IT_number 12
_cell_length_a 8.7771
_cell_length_b 8.6099
_cell_length_c 4.5645
_cell_angle_alpha 90.00
_cell_angle_beta 90.26
_cell_angle_gamma 90.00
loop_
_space_group_symop_operation_xyz
'x,y,z'
'-x,-y,-z'
'-x,y,-z'
'x,-y,z'
'x+1/2,y+1/2,z'
'-x+1/2,-y+1/2,-z'
'-x+1/2,y+1/2,-z'
'x+1/2,-y+1/2,z'
loop_
_atom_site_label
_atom_site_type_symbol
_atom_site_fract_x
_atom_site_fract_y
_atom_site_fract_z
Te1 Te 0.0000 0.2198 0.0000
H1 H 0.2243 0.0000 0.5355
Pd1 Pd 0.0000 0.0000 0.5000
Pd2 Pd 0.0963 0.5000 0.2501
Pd3 Pd 0.2373 0.3424 0.7413
# **Total energy**: -4.644 eV/atom
# **V**: 344.9 Å³/cell


[8]
# PBE SmAl2InPd5, relaxed
data_SmAl2InPd5
_chemical_formula_sum 'Sm1 Al2 In1 Pd5'
_space_group_name_H-M_alt 'P 4/m m m'
_space_group_IT_number 123
_space_group_name_Hall '-P 4 2'
_cell_length_a 4.1881
_cell_length_b 4.1881
_cell_length_c 9.3799
_cell_angle_alpha 90.00
_cell_angle_beta 90.00
_cell_angle_gamma 90.00
loop_
_atom_site_label
_atom_site_type_symbol
_atom_site_fract_x
_atom_site_fract_y
_atom_site_fract_z
Sm1 Sm 0.0000 0.0000 0.0000
Al1 Al 0.5000 0.5000 0.3635
In1 In 0.0000 0.0000 0.5000
Pd1 Pd 0.0000 0.5000 0.2265
Pd2 Pd 0.5000 0.5000 0.0000
# **V**: 164.5 Å³/cell
# **ΔE_f**: -606 meV/atom


[9]
# PBE B2C, relaxed
data_B2C
_chemical_formula_sum 'B8 C4'
_space_group_name_H-M_alt 'P -1'
_space_group_IT_number 2
_cell_length_a 3.7893
_cell_length_b 4.5754
_cell_length_c 5.0202
_cell_angle_alpha 80.24
_cell_angle_beta 78.93
_cell_angle_gamma 86.24
loop_
_space_group_symop_operation_xyz
'x,y,z'
'-x,-y,-z'
loop_
_atom_site_label
_atom_site_type_symbol
_atom_site_fract_x
_atom_site_fract_y
_atom_site_fract_z
B1 B 0.0380 0.2983 0.0872
B2 B 0.0578 0.0806 0.8124
B3 B 0.1501 0.3468 0.4186
B4 B 0.3152 0.5578 0.0987
C1 C 0.2536 0.7249 0.3528
C2 C 0.4344 0.1358 0.5726
# **Offset from the most stable computed form**: 173 meV per atom
# **V**: 84.1 Å³/cell
# **ΔE_f**: 358 meV/atom


[10]
# PBE Zr2GeRh2, relaxed
data_Zr2GeRh2
_chemical_formula_sum 'Zr4 Ge2 Rh4'
_space_group_name_H-M_alt 'P 4/m b m'
_space_group_IT_number 127
_space_group_name_Hall '-P 4 2ab'
_cell_length_a 7.7327
_cell_length_b 7.7327
_cell_length_c 3.1581
_cell_angle_alpha 90.00
_cell_angle_beta 90.00
_cell_angle_gamma 90.00
loop_
_atom_site_label
_atom_site_type_symbol
_atom_site_fract_x
_atom_site_fract_y
_atom_site_fract_z
Zr1 Zr 0.1634 0.3366 0.0000
Ge1 Ge 0.0000 0.0000 0.0000
Rh1 Rh 0.1317 0.6317 0.5000
# **V**: 188.8 Å³/cell
# **ΔE_f**: -457 meV/atom


[11]
# PBE SbP2Rh, relaxed
data_SbP2Rh
_chemical_formula_sum 'Sb2 P4 Rh2'
_space_group_name_H-M_alt 'I m m m'
_space_group_IT_number 71
_space_group_name_Hall '-I 2 2'
_cell_length_a 2.9316
_cell_length_b 5.2150
_cell_length_c 9.3667
_cell_angle_alpha 90.00
_cell_angle_beta 90.00
_cell_angle_gamma 90.00
loop_
_atom_site_label
_atom_site_type_symbol
_atom_site_fract_x
_atom_site_fract_y
_atom_site_fract_z
Sb1 Sb 0.0000 0.0000 0.0000
P1 P 0.0000 0.5000 0.2057
Rh1 Rh 0.0000 0.0000 0.5000
# **Uncorrected formation energy**: 0.21 eV/atom
# **V**: 143.2 Å³/cell


[12]
# PBE Mg3W, relaxed
data_Mg3W
_chemical_formula_sum 'Mg12 W4'
_space_group_name_H-M_alt 'P 63/m m c'
_space_group_IT_number 194
_space_group_name_Hall '-P 6c 2c'
_cell_length_a 5.9325
_cell_length_b 5.9325
_cell_length_c 9.7435
_cell_angle_alpha 90.00
_cell_angle_beta 90.00
_cell_angle_gamma 120.00
loop_
_atom_site_label
_atom_site_type_symbol
_atom_site_fract_x
_atom_site_fract_y
_atom_site_fract_z
Mg1 Mg 0.0000 0.5000 0.0000
Mg2 Mg 0.1600 0.3201 0.2500
W1 W 0.0000 0.0000 0.0000
W2 W 0.3333 0.6667 0.7500
# **Offset from the most stable computed form**: 235 meV per atom
# **V**: 297.0 Å³/cell
# **ΔE_f**: 520 meV/atom